Entry 1:
A relaxed K3RbBe crystal. Source: Alexandria, functional PBE.

abc: 6.7535 6.7535 6.7535
angles: 90.00 90.00 90.00
Last column: nearest neighbours and their distance in Å.
Element x y z (fractional)
K: 0.0000 0.0000 0.5000  2 Be 3.38
K: 0.0000 0.5000 0.0000  2 Be 3.38
K: 0.5000 0.0000 0.0000  2 Be 3.38
Rb: 0.5000 0.5000 0.5000  12 K 4.78
Be: 0.0000 0.0000 0.0000  6 K 3.38

Calculated values
As for the magnetic moment: 0.0 μB per formula unit. For the energy, the calculation gives -1.124 eV/atom. As for the symmetry: Pm-3m (221). For the density of states at the Fermi level, the calculation gives 3.86 states/eV per cell.


Entry 2:
A relaxed KRb2Be crystal. Source: Alexandria, functional PBE.

abc: 5.8429 5.8429 27.1843
angles: 90.00 90.00 90.00
Last column: nearest neighbours and their distance in Å.
Element x y z (fractional)
K: 0.0000 0.0000 0.0000  4 Rb 4.05, 4 Be 4.13
K: 0.0000 0.5000 0.2500  4 Rb 4.05, 4 Be 4.13
K: 0.5000 0.0000 0.7500  4 Rb 4.05, 4 Be 4.13
K: 0.5000 0.5000 0.5000  4 Rb 4.05, 4 Be 4.13
Rb: 0.2182 0.2500 0.6250  2 Rb 3.88, 2 Be 3.91, 2 K 4.05
Rb: 0.2500 0.7182 0.8750  2 Rb 3.88, 2 Be 3.91, 2 K 4.05
Rb: 0.2500 0.7818 0.3750  2 Rb 3.88, 2 Be 3.91, 2 K 4.05
Rb: 0.2818 0.2500 0.1250  2 Rb 3.88, 2 Be 3.91, 2 K 4.05
Rb: 0.7182 0.7500 0.1250  2 Rb 3.88, 2 Be 3.91, 2 K 4.05
Rb: 0.7500 0.2182 0.3750  2 Rb 3.88, 2 Be 3.91, 2 K 4.05
Rb: 0.7500 0.2818 0.8750  2 Rb 3.88, 2 Be 3.91, 2 K 4.05
Rb: 0.7818 0.7500 0.6250  2 Rb 3.88, 2 Be 3.91, 2 K 4.05
Be: 0.0000 0.0000 0.5000  4 Rb 3.91, 4 K 4.13
Be: 0.0000 0.5000 0.7500  4 Rb 3.91, 4 K 4.13
Be: 0.5000 0.0000 0.2500  4 Rb 3.91, 4 K 4.13
Be: 0.5000 0.5000 0.0000  4 Rb 3.91, 4 K 4.13

Calculated values
As for the magnetic moment: 0.0 μB per formula unit. For the energy, the calculation gives -0.929 eV/atom. As for the symmetry: I-42d (122). For the density of states at the Fermi level, the calculation gives 11.07 states/eV per cell.


Entry 3:
A relaxed K3RbBe crystal. Source: Alexandria, functional PBE.

abc: 7.9659 7.9659 7.9659
angles: 90.00 90.00 90.00
Last column: nearest neighbours and their distance in Å.
Element x y z (fractional)
K: 0.0000 0.0000 0.5000  2 Rb 3.98
K: 0.0000 0.5000 0.0000  2 Rb 3.98
K: 0.5000 0.0000 0.0000  2 Rb 3.98
Rb: 0.0000 0.0000 0.0000  6 K 3.98
Be: 0.5000 0.5000 0.5000  12 K 5.63

Calculated values
As for the magnetic moment: 0.0 μB per formula unit. For the energy, the calculation gives -0.640 eV/atom. As for the symmetry: Pm-3m (221). For the density of states at the Fermi level, the calculation gives 5.18 states/eV per cell.


Entry 4:
A relaxed KRbBe3 crystal. Source: Alexandria, functional PBE.

abc: 5.9390 5.9390 5.9390
angles: 90.00 90.00 90.00
Last column: nearest neighbours and their distance in Å.
Element x y z (fractional)
K: 0.0000 0.0000 0.0000  6 Be 2.97
Rb: 0.5000 0.5000 0.5000  12 Be 4.20
Be: 0.0000 0.0000 0.5000  2 K 2.97
Be: 0.0000 0.5000 0.0000  2 K 2.97
Be: 0.5000 0.0000 0.0000  2 K 2.97

Calculated values
As for the magnetic moment: 0.0 μB per formula unit. For the energy, the calculation gives -0.857 eV/atom. As for the symmetry: Pm-3m (221). For the density of states at the Fermi level, the calculation gives 4.82 states/eV per cell.


Entry 5:
A relaxed KRb3Be crystal. Source: Alexandria, functional PBE.

abc: 7.0290 7.0290 7.0290
angles: 90.00 90.00 90.00
Last column: nearest neighbours and their distance in Å.
Element x y z (fractional)
K: 0.0000 0.0000 0.0000  12 Rb 4.97
Rb: 0.0000 0.5000 0.5000  2 Be 3.51
Rb: 0.5000 0.0000 0.5000  2 Be 3.51
Rb: 0.5000 0.5000 0.0000  2 Be 3.51
Be: 0.5000 0.5000 0.5000  6 Rb 3.51

Calculated values
As for the magnetic moment: 0.0 μB per formula unit. For the energy, the calculation gives -1.044 eV/atom. As for the symmetry: Pm-3m (221). For the density of states at the Fermi level, the calculation gives 4.53 states/eV per cell.


Entry 6:
A relaxed KRbBeS2 crystal. Source: Alexandria, functional PBE.

abc: 6.8997 6.4587 8.8147
angles: 90.00 90.18 90.00
Last column: nearest neighbours and their distance in Å.
Element x y z (fractional)
K: 0.0000 0.0008 0.2500  4 S 3.20
K: 0.0000 0.9992 0.7500  4 S 3.20
Rb: 0.5000 0.4988 0.7500  4 S 3.33-3.34
Rb: 0.5000 0.5012 0.2500  4 S 3.33-3.34
Be: 0.0000 0.5000 0.0000  2 S 1.88
Be: 0.0000 0.5000 0.5000  2 S 1.88
S: 0.1926 0.2942 0.0000  1 Be 1.88
S: 0.1926 0.7058 0.5000  1 Be 1.88
S: 0.8074 0.2942 0.5000  1 Be 1.88
S: 0.8074 0.7058 0.0000  1 Be 1.88

Calculated values
As for the magnetic moment: 0.0 μB per formula unit. The uncorrected formation energy comes out at -1.03 eV per atom. For the energy, the calculation gives -3.840 eV/atom. As for the symmetry: P2/c (13). For the density of states at the Fermi level, the calculation gives 0.00 states/eV per cell.


Entry 7:
A relaxed KRbBeTe2 crystal. Source: Alexandria, functional PBE.

abc: 8.3629 5.3818 10.0146
angles: 90.00 106.78 90.00
Last column: nearest neighbours and their distance in Å.
Element x y z (fractional)
K: 0.0000 0.0936 0.2500  2 Be 3.32, 4 Te 3.54-3.71
K: 0.0000 0.9064 0.7500  2 Be 3.32, 4 Te 3.54-3.71
Rb: 0.5000 0.2228 0.7500  6 Te 3.71-3.96
Rb: 0.5000 0.7772 0.2500  6 Te 3.71-3.96
Be: 0.0000 0.5000 0.0000  2 Te 2.21
Be: 0.0000 0.5000 0.5000  2 Te 2.21
Te: 0.2386 0.3099 0.0120  1 Be 2.21
Te: 0.2386 0.6901 0.5120  1 Be 2.21
Te: 0.7614 0.3099 0.4880  1 Be 2.21
Te: 0.7614 0.6901 0.9880  1 Be 2.21

Calculated values
As for the magnetic moment: 0.0 μB per formula unit. The uncorrected formation energy comes out at -0.69 eV per atom. For the energy, the calculation gives -3.104 eV/atom. As for the symmetry: P2/c (13). For the density of states at the Fermi level, the calculation gives 0.00 states/eV per cell.


Entry 8:
A relaxed KBeRe crystal. Source: Alexandria, functional PBE.

abc: 3.2057 4.3327 15.3291
angles: 90.00 90.00 90.00
Last column: nearest neighbours and their distance in Å.
Element x y z (fractional)
K: 0.0000 0.0000 0.0000  4 K 2.69
K: 0.0000 0.5000 0.5000  4 K 2.69
K: 0.5000 0.0000 0.5000  4 K 2.69
K: 0.5000 0.5000 0.0000  4 K 2.69
Be: 0.0000 0.0000 0.3039  2 Re 2.38
Be: 0.0000 0.5000 0.8039  2 Re 2.38
Be: 0.5000 0.0000 0.8039  2 Re 2.38
Be: 0.5000 0.5000 0.3039  2 Re 2.38
Re: 0.0000 0.0000 0.6893  2 Be 2.38
Re: 0.0000 0.5000 0.1893  2 Be 2.38
Re: 0.5000 0.0000 0.1893  2 Be 2.38
Re: 0.5000 0.5000 0.6893  2 Be 2.38

Calculated values
As for the magnetic moment: 0.0 μB per formula unit. For the energy, the calculation gives -4.765 eV/atom. As for the symmetry: Fmm2 (42). For the density of states at the Fermi level, the calculation gives 5.76 states/eV per cell.


Entry 9:
A relaxed K2BeRe crystal. Source: Alexandria, functional PBE.

abc: 2.7263 5.7824 5.0855
angles: 90.00 94.97 90.00
Last column: nearest neighbours and their distance in Å.
Element x y z (fractional)
K: 0.2226 0.0000 0.2538  5 K 2.73-2.88
K: 0.7774 0.0000 0.7462  5 K 2.73-2.88
Be: 0.0000 0.5000 0.5000  2 Be 2.73, 4 Re 2.78-2.99
Re: 0.5000 0.5000 0.0000  2 Re 2.73, 4 Be 2.78-2.99

Calculated values
As for the magnetic moment: 0.0 μB per formula unit. For the energy, the calculation gives -3.098 eV/atom. As for the symmetry: P2/m (10). For the density of states at the Fermi level, the calculation gives 3.03 states/eV per cell.


Entry 10:
A relaxed KBeRe2 crystal. Source: Alexandria, functional PBE.

abc: 6.3592 6.3592 6.3592
angles: 90.00 90.00 90.00
Last column: nearest neighbours and their distance in Å.
Element x y z (fractional)
K: 0.0000 0.0000 0.0000  4 Re 2.75, 4 Be 2.75
K: 0.0000 0.5000 0.5000  4 Re 2.75, 4 Be 2.75
K: 0.5000 0.0000 0.5000  4 Re 2.75, 4 Be 2.75
K: 0.5000 0.5000 0.0000  4 Re 2.75, 4 Be 2.75
Be: 0.2500 0.2500 0.7500  4 K 2.75, 4 Re 2.75
Be: 0.2500 0.7500 0.2500  4 K 2.75, 4 Re 2.75
Be: 0.7500 0.2500 0.2500  4 K 2.75, 4 Re 2.75
Be: 0.7500 0.7500 0.7500  4 K 2.75, 4 Re 2.75
Re: 0.0000 0.0000 0.5000  4 Be 2.75, 4 Re 2.75
Re: 0.0000 0.5000 0.0000  4 Be 2.75, 4 Re 2.75
Re: 0.2500 0.2500 0.2500  4 K 2.75, 4 Re 2.75
Re: 0.2500 0.7500 0.7500  4 K 2.75, 4 Re 2.75
Re: 0.5000 0.0000 0.0000  4 Be 2.75, 4 Re 2.75
Re: 0.5000 0.5000 0.5000  4 Be 2.75, 4 Re 2.75
Re: 0.7500 0.2500 0.7500  4 K 2.75, 4 Re 2.75
Re: 0.7500 0.7500 0.2500  4 K 2.75, 4 Re 2.75

Calculated values
As for the magnetic moment: 0.0 μB per formula unit. For the energy, the calculation gives -5.978 eV/atom. As for the symmetry: F-43m (216). For the density of states at the Fermi level, the calculation gives 18.21 states/eV per cell.